1.
# Cr2CuTeMo PBE relaxed
# final energy: -6.369 eV/atom
# E_form (uncorrected): 1094 meV per atom
data_Cr2CuTeMo
_chemical_formula_sum 'Cr2 Cu1 Te1 Mo1'
_symmetry_space_group_name_H-M 'P 4/m m m'
_symmetry_Int_Tables_number 123
_symmetry_space_group_name_Hall '-P 4 2'
_cell_length_a 4.616
_cell_length_b 4.616
_cell_length_c 4.721
_cell_angle_alpha 90.00
_cell_angle_beta 90.00
_cell_angle_gamma 90.00
loop_
_atom_site_label
_atom_site_type_symbol
_atom_site_fract_x
_atom_site_fract_y
_atom_site_fract_z
Cr1 Cr 0.000 0.500 0.000
Cu1 Cu 0.000 0.000 0.000
Te1 Te 0.500 0.500 0.500
Mo1 Mo 0.000 0.000 0.500



2.
# Cr2CuMoW PBE relaxed
# final energy: -7.550 eV/atom
# formation enthalpy at 0 K: 905 kJ/mol of formula units
data_Cr2CuMoW
_chemical_formula_sum 'Cr2 Cu1 Mo1 W1'
_symmetry_space_group_name_H-M 'P 4/m m m'
_symmetry_Int_Tables_number 123
_symmetry_space_group_name_Hall '-P 4 2'
_cell_length_a 4.380
_cell_length_b 4.380
_cell_length_c 4.615
_cell_angle_alpha 90.00
_cell_angle_beta 90.00
_cell_angle_gamma 90.00
loop_
_atom_site_label
_atom_site_type_symbol
_atom_site_fract_x
_atom_site_fract_y
_atom_site_fract_z
Cr1 Cr 0.000 0.500 0.000
Cu1 Cu 0.000 0.000 0.500
Mo1 Mo 0.000 0.000 0.000
W1 W 0.500 0.500 0.500



3.
# CrCuN3 PBE relaxed
# final energy: -5.755 eV/atom
# E_form (uncorrected): 1984 meV per atom
data_CrCuN3
_chemical_formula_sum 'Cr1 Cu1 N3'
_symmetry_space_group_name_H-M 'P m -3 m'
_symmetry_Int_Tables_number 221
_symmetry_space_group_name_Hall '-P 4 2 3'
_cell_length_a 3.628
_cell_length_b 3.628
_cell_length_c 3.628
_cell_angle_alpha 90.00
_cell_angle_beta 90.00
_cell_angle_gamma 90.00
loop_
_atom_site_label
_atom_site_type_symbol
_atom_site_fract_x
_atom_site_fract_y
_atom_site_fract_z
Cr1 Cr 0.000 0.000 0.000
Cu1 Cu 0.500 0.500 0.500
N1 N 0.000 0.500 0.500



4.
# CrCu3N PBE relaxed
# final energy: -5.528 eV/atom
# E_form (uncorrected): 520 meV per atom
data_CrCu3N
_chemical_formula_sum 'Cr1 Cu3 N1'
_symmetry_space_group_name_H-M 'P m -3 m'
_symmetry_Int_Tables_number 221
_symmetry_space_group_name_Hall '-P 4 2 3'
_cell_length_a 3.934
_cell_length_b 3.934
_cell_length_c 3.934
_cell_angle_alpha 90.00
_cell_angle_beta 90.00
_cell_angle_gamma 90.00
loop_
_atom_site_label
_atom_site_type_symbol
_atom_site_fract_x
_atom_site_fract_y
_atom_site_fract_z
Cr1 Cr 0.000 0.000 0.000
Cu1 Cu 0.000 0.500 0.500
N1 N 0.500 0.500 0.500



5.
# CrCuN3 PBE relaxed
# final energy: -6.719 eV/atom
# E_form (uncorrected): 1020 meV per atom
data_CrCuN3
_chemical_formula_sum 'Cr1 Cu1 N3'
_symmetry_space_group_name_H-M 'P m -3 m'
_symmetry_Int_Tables_number 221
_symmetry_space_group_name_Hall '-P 4 2 3'
_cell_length_a 3.685
_cell_length_b 3.685
_cell_length_c 3.685
_cell_angle_alpha 90.00
_cell_angle_beta 90.00
_cell_angle_gamma 90.00
loop_
_atom_site_label
_atom_site_type_symbol
_atom_site_fract_x
_atom_site_fract_y
_atom_site_fract_z
Cr1 Cr 0.000 0.000 0.000
Cu1 Cu 0.500 0.500 0.500
N1 N 0.000 0.000 0.500



6.
# CrCuNi2N PBE relaxed
# final energy: -6.784 eV/atom
# E_form (uncorrected): -62 meV per atom
data_CrCuNi2N
_chemical_formula_sum 'Cr1 Cu1 Ni2 N1'
_symmetry_space_group_name_H-M 'P 4/m m m'
_symmetry_Int_Tables_number 123
_symmetry_space_group_name_Hall '-P 4 2'
_cell_length_a 3.795
_cell_length_b 3.795
_cell_length_c 3.771
_cell_angle_alpha 90.00
_cell_angle_beta 90.00
_cell_angle_gamma 90.00
loop_
_atom_site_label
_atom_site_type_symbol
_atom_site_fract_x
_atom_site_fract_y
_atom_site_fract_z
Cr1 Cr 0.000 0.000 0.000
Cu1 Cu 0.500 0.500 0.000
Ni1 Ni 0.000 0.500 0.500
N1 N 0.000 0.000 0.500



7.
# Cr2CuNiN PBE relaxed
# final energy: -7.539 eV/atom
# E_form (uncorrected): -49 meV per atom
data_Cr2CuNiN
_chemical_formula_sum 'Cr2 Cu1 Ni1 N1'
_symmetry_space_group_name_H-M 'P 4/m m m'
_symmetry_Int_Tables_number 123
_symmetry_space_group_name_Hall '-P 4 2'
_cell_length_a 3.756
_cell_length_b 3.756
_cell_length_c 3.815
_cell_angle_alpha 90.00
_cell_angle_beta 90.00
_cell_angle_gamma 90.00
loop_
_atom_site_label
_atom_site_type_symbol
_atom_site_fract_x
_atom_site_fract_y
_atom_site_fract_z
Cr1 Cr 0.000 0.500 0.000
Cu1 Cu 0.000 0.000 0.500
Ni1 Ni 0.500 0.500 0.500
N1 N 0.500 0.500 0.000



Q: Which of these has the highest final energy?
A: CrCu3N



Q: Which value of final energy does entry 4 give?
A: -5.528 eV/atom